Computed, not measured: an optimized crystal structure of MgSc3O at the PBE level of DFT.

Its density is 2.1 Mg/m³. The value obtained for the density of states at the Fermi level is 1.112 states/eV/atom. Its electronic total energy is -20.6 eV/cell. The total magnetization comes out at 0.00 μB/f.u.

The space group is Pm-3m (No. 221) and the conventional cell measures 5.152, 5.152 and 5.152 Å, with angles of 90.00, 90.00 and 90.00 degrees. The asymmetric unit holds Mg at (0.000, 0.000, 0.000), Sc at (0.000, 0.000, 0.500) and O at (0.500, 0.500, 0.500).

Computed, not measured: an optimized crystal structure of MgSc3O at the PBE level of DFT.

Its density is 3.1 Mg/m³. The value obtained for the density of states at the Fermi level is 0.812 states/eV/atom. Its electronic total energy is -123.8 eV/cell. The total magnetization comes out at 0.00 μB/f.u.

The space group is P2_1/c (No. 14) and the conventional cell measures 8.203, 5.834 and 8.594 Å, with angles of 90.00, 112.93 and 90.00 degrees. The asymmetric unit holds Mg at (0.091, 0.178, 0.087), Sc at (0.174, 0.618, 0.255), Sc at (0.317, 0.075, 0.455), Sc at (0.444, 0.579, 0.650) and O at (0.429, 0.748, 0.902).

Computed, not measured: an optimized crystal structure of MgSc3O at the PBE level of DFT.

Its density is 2.9 Mg/m³. The value obtained for the density of states at the Fermi level is 0.335 states/eV/atom. Its electronic total energy is -125.1 eV/cell. The total magnetization comes out at 0.00 μB/f.u.

The space group is Cm (No. 8) and the conventional cell measures 10.614, 6.529 and 5.802 Å, with angles of 90.00, 90.55 and 90.00 degrees. The asymmetric unit holds Mg at (0.000, 0.000, 0.000), Mg at (0.243, 0.000, 0.659), Sc at (0.001, 0.500, 0.002), Sc at (0.244, 0.500, 0.654), Sc at (0.255, 0.258, 0.172), Sc at (0.494, 0.254, 0.485), O at (0.050, 0.500, 0.668) and O at (0.370, 0.500, 0.354).

Computed, not measured: an optimized crystal structure of Mg2Sc6O at the PBE level of DFT.

Its density is 2.9 Mg/m³. The value obtained for the density of states at the Fermi level is 1.094 states/eV/atom. Its electronic total energy is -208.2 eV/cell. The total magnetization comes out at 0.00 μB/f.u.

The space group is Fm-3m (No. 225) and the conventional cell measures 9.112, 9.112 and 9.112 Å, with angles of 90.00, 90.00 and 90.00 degrees. The asymmetric unit holds Mg at (0.250, 0.250, 0.250), Sc at (0.000, 0.000, 0.246) and O at (0.000, 0.000, 0.000).

Computed, not measured: an optimized crystal structure of MgSc2O4 at the PBE level of DFT.

Its density is 3.4 Mg/m³. The value obtained for the density of states at the Fermi level is 0.000 states/eV/atom. Its electronic total energy is -456.3 eV/cell. The total magnetization comes out at 0.00 μB/f.u.

The space group is Fd-3m (No. 227, origin choice 2) and the conventional cell measures 8.821, 8.821 and 8.821 Å, with angles of 90.00, 90.00 and 90.00 degrees. The asymmetric unit holds Mg at (0.125, 0.125, 0.125), Sc at (0.000, 0.000, 0.500) and O at (0.009, 0.009, 0.741).

Computed, not measured: an optimized crystal structure of MgScO at the PBE level of DFT.

Its density is 2.5 Mg/m³. The value obtained for the density of states at the Fermi level is 0.356 states/eV/atom. Its electronic total energy is -74.0 eV/cell. The total magnetization comes out at 0.00 μB/f.u.

The space group is P2_1/c (No. 14) and the conventional cell measures 7.495, 5.396 and 5.530 Å, with angles of 90.00, 93.20 and 90.00 degrees. The asymmetric unit holds Mg at (0.006, 0.249, 0.384), Sc at (0.385, 0.000, 0.741) and O at (0.500, 0.250, 0.499).

Computed, not measured: an optimized crystal structure of MgSc3O at the PBE level of DFT.

Its density is 2.7 Mg/m³. The value obtained for the density of states at the Fermi level is 0.628 states/eV/atom. Its electronic total energy is -124.0 eV/cell. The total magnetization comes out at 0.00 μB/f.u.

The space group is P2_1/c (No. 14) and the conventional cell measures 7.910, 6.236 and 10.602 Å, with angles of 90.00, 124.47 and 90.00 degrees. The asymmetric unit holds Mg at (0.214, 0.058, 0.108), Sc at (0.068, 0.660, 0.802), Sc at (0.296, 0.547, 0.172), Sc at (0.432, 0.242, 0.464) and O at (0.329, 0.556, 0.995).

Computed, not measured: an optimized crystal structure of Mg3Sc6O at the PBE level of DFT.

Its density is 2.8 Mg/m³. The value obtained for the density of states at the Fermi level is 1.605 states/eV/atom. Its electronic total energy is -319.9 eV/cell. The total magnetization comes out at 0.55 μB/f.u.

The space group is R-3m (No. 166, hexagonal axes) and the conventional cell measures 9.7161, 9.7161 and 15.7998 Å, with angles of 90.00, 90.00 and 120.00 degrees. The asymmetric unit holds Mg at (0.1092, 0.2184, 0.2498), Sc at (0.1082, 0.2164, 0.9209), Sc at (0.1108, 0.2216, 0.5806), O at (0.0000, 0.0000, 0.0000) and O at (0.0000, 0.0000, 0.5000).

Computed, not measured: an optimized crystal structure of MgSc3O at the PBE level of DFT.

Its density is 2.7 Mg/m³. The value obtained for the density of states at the Fermi level is 1.028 states/eV/atom. Its electronic total energy is -62.0 eV/cell. The total magnetization comes out at 0.59 μB/f.u.

The space group is Amm2 (No. 38) and the conventional cell measures 3.300, 6.627 and 9.694 Å, with angles of 90.00, 90.00 and 90.00 degrees. The asymmetric unit holds Mg at (0.000, 0.000, 0.000), Sc at (0.000, 0.000, 0.501), Sc at (0.500, 0.243, 0.751) and O at (0.500, 0.000, 0.366).

Computed, not measured: an optimized crystal structure of MgSc3O at the PBE level of DFT.

Its density is 3.1 Mg/m³. The value obtained for the density of states at the Fermi level is 0.849 states/eV/atom. Its electronic total energy is -250.2 eV/cell. The total magnetization comes out at 0.00 μB/f.u.

The space group is C2/c (No. 15) and the conventional cell measures 10.406, 12.966 and 5.648 Å, with angles of 90.00, 90.61 and 90.00 degrees. The asymmetric unit holds Mg at (0.133, 0.063, 0.085), Sc at (0.115, 0.434, 0.583), Sc at (0.122, 0.190, 0.579), Sc at (0.122, 0.315, 0.087), O at (0.000, 0.312, 0.750) and O at (0.000, 0.440, 0.250).

Computed, not measured: an optimized crystal structure of MgSc3O at the PBE level of DFT.

Its density is 2.9 Mg/m³. The value obtained for the density of states at the Fermi level is 1.186 states/eV/atom. Its electronic total energy is -125.8 eV/cell. The total magnetization comes out at 0.00 μB/f.u.

The space group is Cm (No. 8) and the conventional cell measures 10.623, 6.547 and 7.780 Å, with angles of 90.00, 132.81 and 90.00 degrees. The asymmetric unit holds Mg at (0.000, 0.000, 0.000), Mg at (0.070, 0.000, 0.654), Sc at (0.074, 0.500, 0.651), Sc at (0.231, 0.246, 0.488), Sc at (0.333, 0.247, 0.168), Sc at (0.495, 0.000, 0.001), O at (0.027, 0.500, 0.326) and O at (0.181, 0.500, 0.988).

Computed, not measured: an optimized crystal structure of MgSc3O at the PBE level of DFT.

Its density is 2.5 Mg/m³. The value obtained for the density of states at the Fermi level is 0.869 states/eV/atom. Its electronic total energy is -89.8 eV/cell. The total magnetization comes out at 1.30 μB/f.u.

The space group is R3m (No. 160, hexagonal axes) and the conventional cell measures 8.6989, 8.6989 and 5.3161 Å, with angles of 90.00, 90.00 and 120.00 degrees. The asymmetric unit holds Mg at (0.0000, 0.0000, 0.0000), Sc at (0.2095, 0.4190, 0.1456) and O at (0.0000, 0.0000, 0.6258).

Computed, not measured: an optimized crystal structure of MgSc3O at the PBE level of DFT.

Its density is 2.7 Mg/m³. The value obtained for the density of states at the Fermi level is 0.633 states/eV/atom. Its electronic total energy is -61.3 eV/cell. The total magnetization comes out at 0.85 μB/f.u.

The space group is P2_1/m (No. 11) and the conventional cell measures 5.458, 6.724 and 5.772 Å, with angles of 90.00, 90.25 and 90.00 degrees. The asymmetric unit holds Mg at (0.246, 0.250, 0.323), Sc at (0.227, 0.502, 0.832), Sc at (0.278, 0.750, 0.336) and O at (0.355, 0.250, 0.683).

Computed, not measured: an optimized crystal structure of MgSc3O at the PBE level of DFT.

Its density is 3.0 Mg/m³. The value obtained for the density of states at the Fermi level is 1.199 states/eV/atom. Its electronic total energy is -62.1 eV/cell. The total magnetization comes out at 1.67 μB/f.u.

The space group is P2_1/m (No. 11) and the conventional cell measures 5.310, 6.248 and 5.900 Å, with angles of 90.00, 92.08 and 90.00 degrees. The asymmetric unit holds Mg at (0.225, 0.250, 0.360), Sc at (0.255, 0.503, 0.860), Sc at (0.258, 0.750, 0.357) and O at (0.469, 0.750, 0.059).

Computed, not measured: an optimized crystal structure of Mg2ScO2 at the PBE level of DFT.

Its density is 2.7 Mg/m³. The value obtained for the density of states at the Fermi level is 0.212 states/eV/atom. Its electronic total energy is -56.2 eV/cell. The total magnetization comes out at 0.91 μB/f.u.

The space group is P4/mbm (No. 127) and the conventional cell measures 6.090, 6.090 and 4.089 Å, with angles of 90.00, 90.00 and 90.00 degrees. The asymmetric unit holds Mg at (0.180, 0.320, 0.000), Sc at (0.000, 0.000, 0.500) and O at (0.220, 0.280, 0.500).

Computed, not measured: an optimized crystal structure of MgSc3O at the PBE level of DFT.

Its density is 2.7 Mg/m³. The value obtained for the density of states at the Fermi level is 0.821 states/eV/atom. Its electronic total energy is -121.4 eV/cell. The total magnetization comes out at 0.00 μB/f.u.

The space group is I-4m2 (No. 119) and the conventional cell measures 6.215, 6.215 and 10.984 Å, with angles of 90.00, 90.00 and 90.00 degrees. The asymmetric unit holds Mg at (0.000, 0.000, 0.127), Sc at (0.000, 0.250, 0.373), Sc at (0.000, 0.500, 0.626), O at (0.000, 0.000, 0.500) and O at (0.000, 0.500, 0.250).

Computed, not measured: an optimized crystal structure of MgSc3O at the PBE level of DFT.

Its density is 2.7 Mg/m³. The value obtained for the density of states at the Fermi level is 1.063 states/eV/atom. Its electronic total energy is -123.8 eV/cell. The total magnetization comes out at 0.00 μB/f.u.

The space group is Pnma (No. 62) and the conventional cell measures 5.364, 13.434 and 5.894 Å, with angles of 90.00, 90.00 and 90.00 degrees. The asymmetric unit holds Mg at (0.000, 0.000, 0.000), Sc at (0.001, 0.126, 0.425), Sc at (0.026, 0.250, 0.953) and O at (0.081, 0.750, 0.381).

Computed, not measured: an optimized crystal structure of MgScO3 at the PBE level of DFT.

Its density is 2.9 Mg/m³. The value obtained for the density of states at the Fermi level is 0.500 states/eV/atom. Its electronic total energy is -33.0 eV/cell. The total magnetization comes out at 1.01 μB/f.u.

The space group is Pm-3m (No. 221) and the conventional cell measures 4.043, 4.043 and 4.043 Å, with angles of 90.00, 90.00 and 90.00 degrees. The asymmetric unit holds Mg at (0.000, 0.000, 0.000), Sc at (0.500, 0.500, 0.500) and O at (0.000, 0.500, 0.500).

Computed, not measured: an optimized crystal structure of MgSc3O at the PBE level of DFT.

Its density is 2.7 Mg/m³. The value obtained for the density of states at the Fermi level is 1.769 states/eV/atom. Its electronic total energy is -123.0 eV/cell. The total magnetization comes out at 0.00 μB/f.u.

The space group is C2/m (No. 12) and the conventional cell measures 16.348, 3.313 and 8.033 Å, with angles of 90.00, 98.21 and 90.00 degrees. The asymmetric unit holds Mg at (0.093, 0.000, 0.067), Sc at (0.012, 0.500, 0.693), Sc at (0.162, 0.000, 0.482), Sc at (0.203, 0.500, 0.847) and O at (0.220, 0.500, 0.606).

Computed, not measured: an optimized crystal structure of MgSc3O at the PBE level of DFT.

Its density is 2.7 Mg/m³. The value obtained for the density of states at the Fermi level is 0.619 states/eV/atom. Its electronic total energy is -478.3 eV/cell. The total magnetization comes out at 1.48 μB/f.u.

The space group is Fd-3m (No. 227, origin choice 2) and the conventional cell measures 12.037, 12.037 and 12.037 Å, with angles of 90.00, 90.00 and 90.00 degrees. The asymmetric unit holds Mg at (0.000, 0.000, 0.000), Sc at (0.057, 0.375, 0.875) and O at (0.000, 0.000, 0.500).